Record 1
## KBaLa (GGA-PBE)

Data for a relaxed structure of KBaLa.

Results
* energy above the lowest structure with this stoichiometry: 0.00 eV per formula unit
* energy: -2.5062 eV/atom
* energy relative to the elements: 0.143 eV per atom

a b c (Å): 21.717 21.717 21.717
angles (deg): 11.01 11.01 11.01
Atoms (fractional coordinates):
K: 0.198 0.198 0.198
K: 0.802 0.802 0.802
Ba: 0.262 0.262 0.262
Ba: 0.738 0.738 0.738
La: 0.354 0.354 0.354
La: 0.646 0.646 0.646

***

Record 2
## BaNbP2Os (GGA-PBE)

Data for a relaxed structure of BaNbP2Os.

Results
* energy: -7.5140 eV/atom
* energy relative to the elements: -0.706 eV per atom

a b c (Å): 4.010 4.010 13.340
angles (deg): 90.00 90.00 90.00
Atoms (fractional coordinates):
Ba: 0.000 0.000 0.000
Ba: 0.500 0.500 0.500
Nb: 0.000 0.500 0.750
Nb: 0.500 0.000 0.250
P: 0.000 0.000 0.359
P: 0.000 0.000 0.641
P: 0.500 0.500 0.141
P: 0.500 0.500 0.859
Os: 0.000 0.500 0.250
Os: 0.500 0.000 0.750

***

Question: The lowest energy belongs to which entry?
Answer: BaNbP2Os

***

Question: Which of these has the highest energy?
Answer: KBaLa

***

Question: Which formula does entry 1 have?
Answer: KBaLa

***

Question: Which of these has the lowest energy relative to the elements?
Answer: BaNbP2Os